Compound: K8RbHg3
Source: Alexandria
Functional: PBE-GGA
Structure: optimized geometry

a b c (Å): 11.6422 11.6422 8.7061
angles (deg): 48.04 48.04 60.00
Positions (direct):
K: 0.7392 0.7392 0.7823
K: 0.2350 0.7999 0.7301
K: 0.7650 0.7650 0.2699
K: 0.2001 0.7650 0.2699
K: 0.2350 0.2350 0.7301
K: 0.7650 0.2001 0.2699
K: 0.2608 0.2608 0.2177
K: 0.7999 0.2350 0.7301
Rb: 0.5000 0.5000 0.5000
Hg: 0.0000 0.5000 0.0000
Hg: 0.5000 0.0000 0.0000
Hg: 0.5000 0.5000 0.0000

formation enthalpy at 0 K: -0.075 eV/atom
calculated total energy: -11.557 eV/cell